DFT (PBE) results for CsLiP2 after structural relaxation.

Values from the calculation:
- calculated total energy (eV per atom) = -3.54
- energy above the lowest structure with this stoichiometry (meV per atom) = 0
- spin magnetization (μB per formula unit) = 0.000
- ΔH_f (0 K) (eV/f.u.) = -0.57
- mass density (g cm⁻³) = 3.11
- D(E_F) (states/eV/atom) = 0.44

Unit cell a=4.864 b=4.864 c=18.216 alpha=90.00 beta=90.00 gamma=90.00
Space group I4_1/amd (No. 141, origin choice 2)
Symmetry-distinct sites (fractional):
Cs: 0.000 0.250 0.375
Li: 0.000 0.250 0.875
P: 0.000 0.000 0.000